# 1
Entry from the Alexandria database: a relaxed structure of SrMo2W (GGA-PBE).

Calculated values
calculated formation energy	1.17	eV per atom
calculated volume	18.5	Å³/atom
polymorph energy (0 for the lowest one)	470	meV per atom
size of the total moment	0.0	μB/f.u.

a = 4.8949 Å, b = 4.8949 Å, c = 3.0928 Å
α = 90.00°, β = 90.00°, γ = 90.00°
Element x y z (fractional)
Sr: 0.0000 0.0000 0.0000
Mo: 0.0000 0.5000 0.5000
Mo: 0.5000 0.0000 0.5000
W: 0.5000 0.5000 0.0000

# 2
Entry from the Alexandria database: a relaxed structure of YTaTe3 (GGA-PBE).

Calculated values
calculated volume	31.7	Å³/atom
formation energy from raw total energies	-16	meV per atom
polymorph energy (0 for the lowest one)	0	meV per atom
size of the total moment	0.0	μB/f.u.

a = 5.4090 Å, b = 5.4090 Å, c = 5.4090 Å
α = 90.00°, β = 90.00°, γ = 90.00°
Element x y z (fractional)
Y: 0.0000 0.0000 0.0000
Ta: 0.5000 0.5000 0.5000
Te: 0.0000 0.5000 0.5000
Te: 0.5000 0.0000 0.5000
Te: 0.5000 0.5000 0.0000